Record 1
## LiPr3S4 (PBE)

Data for a relaxed structure of LiPr3S4.

Cell: 4.0698 7.0247 7.0247 Å, 109.50 90.00 90.00°
Last column: nearest neighbours and their distance in Å.
Fractional positions:
1 S 0.5000 0.7562 0.2438  1 Li 2.80, 5 Pr 2.87-2.94
2 Li 0.5000 0.0000 0.0000  6 S 2.80-2.83
3 Pr 0.5000 0.5000 0.5000  6 S 2.92-2.94
4 S 0.0000 0.2422 0.2422  2 Li 2.83, 4 Pr 2.87-2.92
5 Pr 0.0000 0.5000 0.0000  6 S 2.87
6 S 0.0000 0.7578 0.7578  2 Li 2.83, 4 Pr 2.87-2.92
7 S 0.5000 0.2438 0.7562  1 Li 2.80, 5 Pr 2.87-2.94
8 Pr 0.0000 0.0000 0.5000  6 S 2.87

Calculated values
The final energy comes out at -48.0 eV per cell. As for the density of states at the Fermi level: 0.340 states/eV per atom. For the energy above the lowest structure with this stoichiometry, the calculation gives 0.026 eV/atom. The symmetry is Cmmm, No. 65.

=====

Record 2
## Mn2AlCo (PBE)

Data for a relaxed structure of Mn2AlCo.

Cell: 4.1382 2.5620 4.6287 Å, 81.73 90.00 90.00°
Last column: nearest neighbours and their distance in Å.
Fractional positions:
1 Al 0.5000 0.2500 0.2500  2 Co 2.48, 4 Mn 2.55, 2 Al 2.56
2 Mn 0.0000 0.5278 0.5098  2 Co 2.45, 5 Mn 2.46-2.64, 2 Al 2.55
3 Mn 0.0000 0.9722 0.9902  2 Co 2.45, 5 Mn 2.46-2.64, 2 Al 2.55
4 Co 0.5000 0.7500 0.7500  4 Mn 2.45, 2 Al 2.48, 2 Co 2.56

Calculated values
The final energy comes out at -29.3 eV per cell. As for the density of states at the Fermi level: 1.041 states/eV per atom. For the energy above the lowest structure with this stoichiometry, the calculation gives 0.229 eV/atom. The symmetry is P2/m, No. 10. The value obtained for the energy of formation from the pure elements is -0.04 eV/atom.

=====

Record 3
## Er3ZnPd (PBE)

Data for a relaxed structure of Er3ZnPd.

Cell: 4.9383 4.9307 9.9585 Å, 90.00 75.64 90.00°
Last column: nearest neighbours and their distance in Å.
Fractional positions:
1 Er 0.5737 0.2500 0.5010  4 Pd 2.98-2.99, 4 Zn 3.05-3.06
2 Pd 0.6615 0.7500 0.3255  8 Er 2.98-3.09
3 Er 0.2580 0.7500 0.1324  2 Zn 3.02, 2 Pd 3.09
4 Zn 0.4808 0.7500 0.6867  8 Er 3.00-3.06
5 Er 0.3904 0.2500 0.8676  2 Zn 3.02, 2 Pd 3.09
6 Er 0.8925 0.7500 0.8633  2 Zn 3.00, 2 Pd 3.06
7 Pd 0.9870 0.2500 0.6745  8 Er 2.98-3.09
8 Er 0.7558 0.2500 0.1367  2 Zn 3.00, 2 Pd 3.06
9 Zn 0.1675 0.2500 0.3133  8 Er 3.00-3.06
10 Er 0.0746 0.7500 0.4990  4 Pd 2.98-2.99, 4 Zn 3.05-3.06

Calculated values
The final energy comes out at -45.2 eV per cell. As for the density of states at the Fermi level: 0.725 states/eV per atom. For the energy above the lowest structure with this stoichiometry, the calculation gives 0.000 eV/atom. The symmetry is Cmcm, No. 63. The value obtained for the energy of formation from the pure elements is -0.49 eV/atom.

=====

Record 4
## CsSr2CaCu (PBE)

Data for a relaxed structure of CsSr2CaCu.

Cell: 6.3089 6.3089 6.0122 Å, 90.00 90.00 90.00°
Last column: nearest neighbours and their distance in Å.
Fractional positions:
1 Cu 0.0000 0.0000 0.0000  2 Ca 3.01, 4 Sr 3.15
2 Cs 0.5000 0.5000 0.5000  8 Sr 4.36, 4 Ca 4.46
3 Ca 0.0000 0.0000 0.5000  2 Cu 3.01
4 Sr 0.5000 0.0000 0.0000  2 Cu 3.15
5 Sr 0.0000 0.5000 0.0000  2 Cu 3.15

Calculated values
The final energy comes out at -9.9 eV per cell. As for the density of states at the Fermi level: 0.662 states/eV per atom. The symmetry is P4/mmm, No. 123. The value obtained for the energy of formation from the pure elements is 0.09 eV/atom.

=====

Record 5
## ZnNiH (PBE)

Data for a relaxed structure of ZnNiH.

Cell: 2.7781 2.7781 4.1669 Å, 90.00 90.00 120.00°
Last column: nearest neighbours and their distance in Å.
Fractional positions:
1 H 0.6667 0.3333 0.4415  3 Ni 1.65
2 Zn 0.0000 0.0000 0.0204  3 H 2.38, 3 Ni 2.57
3 Ni 0.3333 0.6667 0.5380  3 H 1.65

Calculated values
The final energy comes out at -10.7 eV per cell. As for the density of states at the Fermi level: 0.275 states/eV per atom. The symmetry is P3m1, No. 156.

=====

Record 6
## Sm8MgAl2 (PBE)

Data for a relaxed structure of Sm8MgAl2.

Cell: 5.0173 8.0446 9.0213 Å, 109.10 106.15 90.00°
Last column: nearest neighbours and their distance in Å.
Fractional positions:
1 Al 0.7867 0.3346 0.5735  7 Sm 3.11-3.23
2 Sm 0.8314 0.7540 0.6628  3 Al 3.16-3.19, 3 Sm 3.45-3.46
3 Mg 0.5000 0.0000 0.0000  8 Sm 3.29-3.55
4 Sm 0.0442 0.7325 0.0883  1 Al 3.16, 3 Sm 3.43-3.53
5 Sm 0.1686 0.2460 0.3372  3 Al 3.16-3.19, 3 Sm 3.45-3.46
6 Sm 0.3222 0.0628 0.6444  1 Al 3.11, 1 Mg 3.29, 5 Sm 3.43-3.45
7 Sm 0.9558 0.2675 0.9117  1 Al 3.16, 3 Sm 3.43-3.53
8 Sm 0.6778 0.9372 0.3556  1 Al 3.11, 1 Mg 3.29, 5 Sm 3.43-3.45
9 Al 0.2133 0.6654 0.4265  7 Sm 3.11-3.23
10 Sm 0.3964 0.5358 0.7927  2 Al 3.23, 5 Sm 3.46-3.58, 1 Mg 3.55
11 Sm 0.6036 0.4642 0.2073  2 Al 3.23, 5 Sm 3.46-3.58, 1 Mg 3.55

Calculated values
The final energy comes out at -48.1 eV per cell. As for the density of states at the Fermi level: 1.236 states/eV per atom. The symmetry is C2/m, No. 12. The value obtained for the energy of formation from the pure elements is -0.11 eV/atom.

=====

Record 7
## RbInSi (PBE)

Data for a relaxed structure of RbInSi.

Cell: 3.8877 5.7949 9.0205 Å, 71.26 77.56 90.00°
Last column: nearest neighbours and their distance in Å.
Fractional positions:
1 Si 0.7886 0.5386 0.4228  2 Si 2.33
2 Rb 0.6443 0.8943 0.7114  6 Si 3.66-3.76, 6 In 3.68-3.87, 4 Rb 3.89-4.02
3 Rb 0.3557 0.1057 0.2886  6 Si 3.66-3.76, 6 In 3.68-3.87, 4 Rb 3.89-4.02
4 In 0.9565 0.7065 0.0869  1 Si 2.79
5 Si 0.2114 0.4614 0.5772  2 Si 2.33
6 In 0.0435 0.2935 0.9131  1 Si 2.79

Calculated values
The final energy comes out at -18.1 eV per cell. As for the density of states at the Fermi level: 0.444 states/eV per atom. The symmetry is Imma, No. 74.

=====

Record 8
## NaSrNd2Hg4 (PBE)

Data for a relaxed structure of NaSrNd2Hg4.

Cell: 5.3934 5.3934 9.4567 Å, 73.43 73.43 60.00°
Last column: nearest neighbours and their distance in Å.
Fractional positions:
1 Hg 0.1260 0.1260 0.6220  4 Nd 3.21-3.28, 3 Na 3.30, 1 Sr 3.38
2 Hg 0.6211 0.6211 0.1366  1 Na 3.24, 4 Nd 3.31-3.57, 3 Sr 3.34
3 Hg 0.3789 0.3789 0.8634  1 Na 3.24, 4 Nd 3.31-3.57, 3 Sr 3.34
4 Hg 0.8740 0.8740 0.3780  4 Nd 3.21-3.28, 3 Na 3.30, 1 Sr 3.38
5 Nd 0.2457 0.2457 0.2630  8 Hg 3.21-3.57
6 Nd 0.7543 0.7543 0.7370  8 Hg 3.21-3.57
7 Sr 0.0000 0.0000 0.0000  8 Hg 3.34-3.38
8 Na 0.5000 0.5000 0.5000  8 Hg 3.24-3.30

Calculated values
The final energy comes out at -17.1 eV per cell. As for the density of states at the Fermi level: 0.789 states/eV per atom. The symmetry is R-3m, No. 166. The value obtained for the energy of formation from the pure elements is -0.42 eV/atom.

=====

Record 9
## BaLi6Cd12 (PBE)

Data for a relaxed structure of BaLi6Cd12.

Cell: 7.8651 7.8651 7.8651 Å, 105.02 105.02 105.02°
Last column: nearest neighbours and their distance in Å.
Fractional positions:
1 Cd 0.5000 0.8813 0.1187  4 Li 2.71-2.78, 1 Cd 2.96
2 Cd 0.8453 0.5860 0.5860  3 Li 2.79-2.85, 2 Cd 3.07
3 Li 0.7009 0.2651 0.2651  7 Cd 2.71-2.85
4 Li 0.7349 0.7349 0.2991  7 Cd 2.71-2.85
5 Cd 0.5860 0.8453 0.5860  3 Li 2.79-2.85, 2 Cd 3.07
6 Cd 0.4140 0.1547 0.4140  3 Li 2.79-2.85, 2 Cd 3.07
7 Cd 0.1187 0.5000 0.8813  4 Li 2.71-2.78, 1 Cd 2.96
8 Li 0.7349 0.2991 0.7349  7 Cd 2.71-2.85
9 Cd 0.8813 0.1187 0.5000  4 Li 2.71-2.78, 1 Cd 2.96
10 Cd 0.1187 0.8813 0.5000  4 Li 2.71-2.78, 1 Cd 2.96
11 Cd 0.5000 0.1187 0.8813  4 Li 2.71-2.78, 1 Cd 2.96
12 Li 0.2651 0.2651 0.7009  7 Cd 2.71-2.85
13 Cd 0.8813 0.5000 0.1187  4 Li 2.71-2.78, 1 Cd 2.96
14 Cd 0.4140 0.4140 0.1547  3 Li 2.79-2.85, 2 Cd 3.07
15 Cd 0.5860 0.5860 0.8453  3 Li 2.79-2.85, 2 Cd 3.07
16 Cd 0.1547 0.4140 0.4140  3 Li 2.79-2.85, 2 Cd 3.07
17 Ba 0.0000 0.0000 0.0000  6 Cd 3.62
18 Li 0.2651 0.7009 0.2651  7 Cd 2.71-2.85
19 Li 0.2991 0.7349 0.7349  7 Cd 2.71-2.85

Calculated values
The final energy comes out at -27.2 eV per cell. As for the density of states at the Fermi level: 0.489 states/eV per atom. The symmetry is R-3m, No. 166. The value obtained for the energy of formation from the pure elements is -0.15 eV/atom.

=====

Record 10
## InAsSe (PBE)

Data for a relaxed structure of InAsSe.

Cell: 4.0037 6.0079 8.4462 Å, 50.85 76.32 90.13°
Last column: nearest neighbours and their distance in Å.
Fractional positions:
1 In 0.3337 0.4125 0.8335  3 Se 2.76-2.93, 2 As 2.83
2 In 0.6663 0.5875 0.1665  3 Se 2.76-2.93, 2 As 2.83
3 As 0.0062 0.3138 0.4875  1 As 2.38
4 Se 0.3181 0.8735 0.8623  3 In 2.76-2.93
5 As 0.9938 0.6862 0.5125  1 As 2.38
6 Se 0.6819 0.1265 0.1377  3 In 2.76-2.93

Calculated values
The final energy comes out at -22.8 eV per cell. As for the density of states at the Fermi level: 0.297 states/eV per atom. The symmetry is P-1, No. 2.